Record 1
Material: MgSiAsBr2
Method: DFT, PBE
State: relaxed

a b c (Å): 4.9788 4.9788 5.5230
angles (deg): 90.00 90.00 90.00
Positions (direct):
Mg1 0.0000 0.0000 0.0000
As1 0.0000 0.0000 0.5000
Si1 0.5000 0.5000 0.5000
Br1 0.0000 0.5000 0.0000
Br2 0.5000 0.0000 0.0000

Results
* D(E_F): 3.4 states/eV per cell
* spin magnetization: 0.00 μB per formula unit
* energy relative to the elements, uncorrected: 231 meV/atom
* V: 137 Å³ per cell

Record 2
Material: YBeW2
Method: DFT, PBE
State: relaxed

a b c (Å): 3.8558 3.8558 10.2676
angles (deg): 79.18 79.18 90.00
Positions (direct):
Y1 0.0000 0.0000 0.0000
Y2 0.7500 0.2500 0.5000
Be1 0.5000 0.5000 0.0000
Be2 0.2500 0.7500 0.5000
W1 0.1446 0.1250 0.2500
W2 0.6054 0.6250 0.2500
W3 0.3750 0.8554 0.7500
W4 0.8750 0.3946 0.7500

Results
* D(E_F): 4.3 states/eV per cell
* spin magnetization: 0.00 μB per formula unit
* electronic total energy: -8.173 eV/atom
* V: 147 Å³ per cell

Record 3
Material: ZrCuReBi
Method: DFT, PBE
State: relaxed

a b c (Å): 3.2489 4.8156 5.8277
angles (deg): 78.74 74.07 70.32
Positions (direct):
Re1 0.2042 0.3096 0.9262
Cu1 0.4741 0.3762 0.3242
Bi1 0.6073 0.7706 0.6528
Zr1 0.8355 0.8579 0.1170

Results
* D(E_F): 2.5 states/eV per cell
* spin magnetization: 0.00 μB per formula unit
* electronic total energy: -6.857 eV/atom
* V: 82 Å³ per cell

Record 4
Material: Sr4HgSb
Method: DFT, PBE
State: relaxed

a b c (Å): 7.8901 7.8904 9.8277
angles (deg): 113.69 113.67 90.00
Positions (direct):
Sr1 0.3733 0.8733 0.7458
Sr2 0.6274 0.6267 0.2542
Sr3 0.6267 0.1267 0.2542
Sr4 0.3726 0.3733 0.7458
Sr5 0.8733 0.8725 0.7459
Sr6 0.1275 0.6275 0.2541
Sr7 0.1267 0.1275 0.2541
Sr8 0.8725 0.3725 0.7459
Hg1 0.5000 0.0000 0.5000
Hg2 0.0000 0.5000 0.5000
Sb1 0.7500 0.7500 0.0000
Sb2 0.2500 0.2500 0.0000

Results
* D(E_F): 7.3 states/eV per cell
* spin magnetization: 0.00 μB per formula unit
* energy relative to the elements, uncorrected: -563 meV/atom
* V: 504 Å³ per cell

Record 5
Material: Tb2Pr12Tm5
Method: DFT, PBE
State: relaxed

a b c (Å): 10.7312 9.2602 8.1790
angles (deg): 86.40 90.00 125.41
Positions (direct):
Tb1 0.7275 0.0000 0.0000
Tb2 0.2725 0.0000 0.0000
Pr1 0.1302 0.2603 0.8925
Pr2 0.0386 0.6342 0.7921
Pr3 0.5956 0.6342 0.7921
Pr4 0.1639 0.7861 0.3853
Pr5 0.6221 0.7861 0.3853
Pr6 0.4428 0.8855 0.7152
Pr7 0.5572 0.1145 0.2848
Pr8 0.8361 0.2139 0.6147
Pr9 0.3779 0.2139 0.6147
Pr10 0.9614 0.3658 0.2079
Pr11 0.4044 0.3658 0.2079
Pr12 0.8698 0.7397 0.1075
Tm1 0.2406 0.4812 0.5089
Tm2 0.3439 0.6877 0.1021
Tm3 0.0000 0.0000 0.5000
Tm4 0.6561 0.3123 0.8979
Tm5 0.7594 0.5188 0.4911

Results
* D(E_F): 26.9 states/eV per cell
* spin magnetization: 0.00 μB per formula unit
* electronic total energy: -4.552 eV/atom
* V: 660 Å³ per cell

Record 6
Material: TmGePt6
Method: DFT, PBE
State: relaxed

a b c (Å): 5.3464 5.3464 5.3464
angles (deg): 90.03 90.03 90.03
Positions (direct):
Tm1 0.0000 0.0000 0.0000
Ge1 0.5000 0.5000 0.5000
Pt1 0.1767 0.5446 0.1767
Pt2 0.1767 0.1767 0.5446
Pt3 0.8233 0.4554 0.8233
Pt4 0.4554 0.8233 0.8233
Pt5 0.8233 0.8233 0.4554
Pt6 0.5446 0.1767 0.1767

Results
* D(E_F): 4.2 states/eV per cell
* spin magnetization: 0.00 μB per formula unit
* electronic total energy: -5.934 eV/atom
* V: 153 Å³ per cell